Computed, not measured: a PBEsol-optimized structure of LiCaSe at the SCAN level of DFT.

Computed properties:
* V: 25.6 A^3/atom
* offset from the most stable computed form: 0.543 eV/atom
* DOS(E_F): 6.19 states/eV/cell
* VASP energy: -11.455 eV per atom
* raw formation energy: -71.9 kJ/mol of atoms

Unit cell a=6.748 b=6.748 c=6.748 alpha=90.00 beta=90.00 gamma=90.00
Space group F-43m (No. 216)
Inequivalent atoms, fractional coordinates:
Li1 0.000 0.000 0.000 x4
Ca1 0.250 0.250 0.750 x4
Se1 0.000 0.000 0.500 x4

---

Computed, not measured: a PBEsol-optimized structure of CrAs2Cl at the SCAN level of DFT.

Computed properties:
* V: 16.4 A^3/atom
* offset from the most stable computed form: 0.355 eV/atom
* DOS(E_F): 4.79 states/eV/cell
* VASP energy: -16.655 eV per atom
* raw formation energy: 3.0 kJ/mol of atoms

Unit cell a=3.1684 b=3.1684 c=22.6010 alpha=90.00 beta=90.00 gamma=120.00
Space group R-3m (No. 166, hexagonal axes)
Inequivalent atoms, fractional coordinates:
Cr1 0.0000 0.0000 0.0000 x3
As1 0.0000 0.0000 0.2634 x6
Cl1 0.0000 0.0000 0.5000 x3

---

Computed, not measured: a PBEsol-optimized structure of NaYRu3 at the SCAN level of DFT.

Computed properties:
* V: 18.1 A^3/atom
* DOS(E_F): 8.49 states/eV/cell
* VASP energy: -25.651 eV per atom

Unit cell a=4.488 b=4.488 c=4.488 alpha=90.00 beta=90.00 gamma=90.00
Space group Pm-3m (No. 221)
Inequivalent atoms, fractional coordinates:
Na1 0.000 0.000 0.000 x1
Y1 0.500 0.500 0.500 x1
Ru1 0.000 0.000 0.500 x3

---

Computed, not measured: a PBEsol-optimized structure of CoBrN2 at the SCAN level of DFT.

Computed properties:
* V: 10.0 A^3/atom
* offset from the most stable computed form: 1.567 eV/atom
* DOS(E_F): 9.38 states/eV/cell
* VASP energy: -11.434 eV per atom
* raw formation energy: 231.8 kJ/mol of atoms

Unit cell a=5.421 b=5.421 c=5.421 alpha=90.00 beta=90.00 gamma=90.00
Space group Fm-3m (No. 225)
Inequivalent atoms, fractional coordinates:
Co1 0.000 0.000 0.000 x4
Br1 0.000 0.000 0.500 x4
N1 0.250 0.250 0.250 x8

---

Computed, not measured: a PBEsol-optimized structure of ScInRu2I at the SCAN level of DFT.

Computed properties:
* V: 24.2 A^3/atom
* DOS(E_F): 4.43 states/eV/cell
* VASP energy: -29.592 eV per atom
* raw formation energy: 116.9 kJ/mol of atoms

Unit cell a=4.720 b=4.720 c=5.426 alpha=90.00 beta=90.00 gamma=90.00
Space group P4/mmm (No. 123)
Inequivalent atoms, fractional coordinates:
Sc1 0.000 0.000 0.000 x1
In1 0.000 0.000 0.500 x1
Ru1 0.000 0.500 0.000 x2
I1 0.500 0.500 0.500 x1

---

Computed, not measured: a PBEsol-optimized structure of CuSi2Te at the SCAN level of DFT.

Computed properties:
* V: 17.1 A^3/atom
* DOS(E_F): 3.95 states/eV/cell
* VASP energy: -17.384 eV per atom
* raw formation energy: 71.1 kJ/mol of atoms

Unit cell a=4.494 b=4.494 c=6.792 alpha=90.00 beta=90.00 gamma=90.00
Space group I-4m2 (No. 119)
Inequivalent atoms, fractional coordinates:
Cu1 0.000 0.000 0.000 x2
Si1 0.000 0.000 0.500 x2
Si2 0.000 0.500 0.250 x2
Te1 0.000 0.500 0.750 x2

---

Computed, not measured: a PBEsol-optimized structure of K2OsCl at the SCAN level of DFT.

Computed properties:
* V: 30.3 A^3/atom
* offset from the most stable computed form: 0.251 eV/atom
* VASP energy: -23.623 eV per atom
* raw formation energy: 48.9 kJ/mol of atoms

Unit cell a=5.528 b=5.528 c=7.921 alpha=90.00 beta=90.00 gamma=90.00
Space group I4/mmm (No. 139)
Inequivalent atoms, fractional coordinates:
K1 0.000 0.500 0.250 x4
Os1 0.000 0.000 0.000 x2
Cl1 0.000 0.000 0.500 x2

---

Computed, not measured: a PBEsol-optimized structure of KSbBr3 at the SCAN level of DFT.

Computed properties:
* V: 36.4 A^3/atom
* DOS(E_F): 1.70 states/eV/cell
* VASP energy: -20.848 eV per atom
* raw formation energy: -5.2 kJ/mol of atoms

Unit cell a=5.668 b=5.668 c=5.668 alpha=90.00 beta=90.00 gamma=90.00
Space group Pm-3m (No. 221)
Inequivalent atoms, fractional coordinates:
K1 0.000 0.000 0.000 x1
Sb1 0.500 0.500 0.500 x1
Br1 0.000 0.000 0.500 x3

---

Computed, not measured: a PBEsol-optimized structure of BeNbSeN2 at the SCAN level of DFT.

Computed properties:
* V: 11.5 A^3/atom
* DOS(E_F): 2.66 states/eV/cell
* VASP energy: -14.374 eV per atom
* raw formation energy: 82.5 kJ/mol of atoms

Unit cell a=3.588 b=3.588 c=4.471 alpha=90.00 beta=90.00 gamma=90.00
Space group P4/mmm (No. 123)
Inequivalent atoms, fractional coordinates:
Be1 0.000 0.000 0.000 x1
Nb1 0.500 0.500 0.500 x1
Se1 0.000 0.000 0.500 x1
N1 0.000 0.500 0.000 x2

---

Computed, not measured: a PBEsol-optimized structure of Ba5MgMnV4Cl6O14 at the SCAN level of DFT.

Computed properties:
* V: 17.5 A^3/atom
* DOS(E_F): 0.00 states/eV/cell
* VASP energy: -16.591 eV per atom
* raw formation energy: -274.8 kJ/mol of atoms

Unit cell a=13.255 b=5.675 c=15.716 alpha=90.00 beta=113.76 gamma=90.00
Space group P2/c (No. 13)
Inequivalent atoms, fractional coordinates:
Ba1 0.000 0.248 0.250 x2
Ba2 0.264 0.248 0.705 x4
Ba3 0.271 0.249 0.979 x4
Mg1 0.500 0.250 0.250 x2
Mn1 0.000 0.500 0.000 x2
V1 0.293 0.249 0.349 x4
V2 0.452 0.250 0.595 x4
Cl1 0.002 0.269 0.865 x4
Cl2 0.143 0.255 0.112 x4
Cl3 0.148 0.254 0.486 x4
O1 0.207 0.015 0.321 x4
O2 0.209 0.486 0.322 x4
O3 0.367 0.247 0.284 x4
O4 0.375 0.248 0.472 x4
O5 0.414 0.250 0.883 x4
O6 0.417 0.009 0.643 x4
O7 0.417 0.492 0.642 x4

---

Computed, not measured: a PBEsol-optimized structure of BaZrTe2 at the SCAN level of DFT.

Computed properties:
* V: 28.5 A^3/atom
* offset from the most stable computed form: 0.000 eV/atom
* DOS(E_F): 1.22 states/eV/cell
* VASP energy: -37.173 eV per atom
* raw formation energy: -95.0 kJ/mol of atoms

Unit cell a=7.699 b=7.699 c=7.699 alpha=90.00 beta=90.00 gamma=90.00
Space group Fm-3m (No. 225)
Inequivalent atoms, fractional coordinates:
Ba1 0.000 0.000 0.000 x4
Zr1 0.000 0.000 0.500 x4
Te1 0.250 0.250 0.250 x8

---

Computed, not measured: a PBEsol-optimized structure of CrRhW2 at the SCAN level of DFT.

Computed properties:
* V: 14.1 A^3/atom
* offset from the most stable computed form: 0.000 eV/atom
* DOS(E_F): 5.28 states/eV/cell
* VASP energy: -47.779 eV per atom

Unit cell a=3.360 b=4.133 c=8.151 alpha=90.00 beta=90.00 gamma=90.00
Space group Cmm2 (No. 35)
Inequivalent atoms, fractional coordinates:
Cr1 0.000 0.000 0.000 x2
Rh1 0.000 0.500 0.781 x2
W1 0.000 0.000 0.526 x2
W2 0.000 0.500 0.250 x2

---

Computed, not measured: a PBEsol-optimized structure of AlH2Br at the SCAN level of DFT.

Computed properties:
* V: 11.4 A^3/atom
* offset from the most stable computed form: 1.100 eV/atom
* DOS(E_F): 3.77 states/eV/cell
* VASP energy: -7.592 eV per atom

Unit cell a=5.677 b=5.677 c=5.677 alpha=90.00 beta=90.00 gamma=90.00
Space group Fm-3m (No. 225)
Inequivalent atoms, fractional coordinates:
Al1 0.000 0.000 0.000 x4
H1 0.250 0.250 0.250 x8
Br1 0.000 0.000 0.500 x4

---

Computed, not measured: a PBEsol-optimized structure of Zr2ZnTc at the SCAN level of DFT.

Computed properties:
* V: 17.5 A^3/atom
* DOS(E_F): 2.34 states/eV/cell
* VASP energy: -27.970 eV per atom

Unit cell a=3.307 b=3.307 c=6.412 alpha=90.00 beta=90.00 gamma=90.00
Space group P4/mmm (No. 123)
Inequivalent atoms, fractional coordinates:
Zr1 0.000 0.000 0.242 x2
Zn1 0.500 0.500 0.500 x1
Tc1 0.500 0.500 0.000 x1

---

Computed, not measured: a PBEsol-optimized structure of Mg2P2O7 at the SCAN level of DFT.

Computed properties:
* V: 10.9 A^3/atom
* offset from the most stable computed form: 0.000 eV/atom
* DOS(E_F): 0.00 states/eV/cell
* VASP energy: -9.601 eV per atom
* raw formation energy: -274.1 kJ/mol of atoms

Unit cell a=6.970 b=8.316 c=9.075 alpha=90.00 beta=113.84 gamma=90.00
Space group P2_1/c (No. 14)
Inequivalent atoms, fractional coordinates:
Mg1 0.198 0.060 0.325 x4
Mg2 0.267 0.070 0.890 x4
P1 0.030 0.726 0.966 x4
P2 0.443 0.733 0.260 x4
O1 0.019 0.090 0.656 x4
O2 0.052 0.611 0.395 x4
O3 0.125 0.236 0.453 x4
O4 0.250 0.671 0.100 x4
O5 0.377 0.242 0.296 x4
O6 0.388 0.609 0.813 x4
O7 0.478 0.597 0.382 x4

---

Computed, not measured: a PBEsol-optimized structure of SrTi2AsAu at the SCAN level of DFT.

Computed properties:
* V: 24.6 A^3/atom
* DOS(E_F): 4.33 states/eV/cell
* VASP energy: -26.927 eV per atom

Unit cell a=4.893 b=4.893 c=5.134 alpha=90.00 beta=90.00 gamma=90.00
Space group P4/mmm (No. 123)
Inequivalent atoms, fractional coordinates:
Sr1 0.000 0.000 0.000 x1
Ti1 0.000 0.500 0.000 x2
As1 0.500 0.500 0.500 x1
Au1 0.000 0.000 0.500 x1

---

Computed, not measured: a PBEsol-optimized structure of Mg2ScCd at the SCAN level of DFT.

Computed properties:
* V: 21.9 A^3/atom
* DOS(E_F): 5.67 states/eV/cell
* VASP energy: -13.791 eV per atom

Unit cell a=3.392 b=5.050 c=10.209 alpha=90.00 beta=90.00 gamma=90.00
Space group Immm (No. 71)
Inequivalent atoms, fractional coordinates:
Mg1 0.000 0.000 0.234 x4
Sc1 0.000 0.500 0.000 x2
Cd1 0.000 0.500 0.500 x2

---

Computed, not measured: a PBEsol-optimized structure of TcRu2Pt at the SCAN level of DFT.

Computed properties:
* V: 13.8 A^3/atom
* offset from the most stable computed form: 0.069 eV/atom
* DOS(E_F): 13.31 states/eV/cell
* VASP energy: -43.709 eV per atom

Unit cell a=2.6915 b=2.6915 c=26.4918 alpha=90.00 beta=90.00 gamma=120.00
Space group R3m (No. 160, hexagonal axes)
Inequivalent atoms, fractional coordinates:
Tc1 0.0000 0.0000 0.0000 x3
Ru1 0.0000 0.0000 0.4947 x3
Ru2 0.0000 0.0000 0.7476 x3
Pt1 0.0000 0.0000 0.2475 x3

---

Computed, not measured: a PBEsol-optimized structure of KAuBr2 at the SCAN level of DFT.

Computed properties:
* V: 24.6 A^3/atom
* offset from the most stable computed form: 0.330 eV/atom
* DOS(E_F): 0.45 states/eV/cell
* VASP energy: -29.735 eV per atom
* raw formation energy: -61.2 kJ/mol of atoms

Unit cell a=3.653 b=4.818 c=5.587 alpha=90.00 beta=90.00 gamma=90.00
Space group Pmmm (No. 47)
Inequivalent atoms, fractional coordinates:
K1 0.000 0.000 0.000 x1
Au1 0.000 0.500 0.500 x1
Br1 0.500 0.000 0.500 x1
Br2 0.500 0.500 0.000 x1

---

Computed, not measured: a PBEsol-optimized structure of MgCdAg2 at the SCAN level of DFT.

Computed properties:
* V: 18.1 A^3/atom
* DOS(E_F): 3.61 states/eV/cell
* VASP energy: -24.624 eV per atom

Unit cell a=2.9969 b=2.9969 c=27.9532 alpha=90.00 beta=90.00 gamma=120.00
Space group R-3m (No. 166, hexagonal axes)
Inequivalent atoms, fractional coordinates:
Mg1 0.0000 0.0000 0.0000 x3
Cd1 0.0000 0.0000 0.5000 x3
Ag1 0.0000 0.0000 0.2522 x6